MgCdSO: optimized geometry, PBE.

Results
* energy above the lowest structure with this stoichiometry: 234 meV/atom
* electronic total energy: -4.149 eV per atom

abc: 3.7256 3.7257 11.5543
angles: 90.00 90.00 120.00
Sites, in units of the cell vectors:
Cd1 0.3333 0.6666 0.2635
Cd2 0.6667 0.3334 0.7635
Mg1 0.0000 0.0000 0.4977
Mg2 0.0000 0.0000 0.9977
O1 0.0000 0.0000 0.3320
O2 0.0000 0.0000 0.8320
S1 0.6667 0.3334 0.0944
S2 0.3333 0.6666 0.5944



ZrCu2B: optimized geometry, PBE.

Results
* electronic total energy: -5.561 eV per atom

abc: 4.1892 4.1892 4.1892
angles: 60.00 60.00 60.00
Sites, in units of the cell vectors:
B1 0.5000 0.5000 0.5000
Cu1 0.0000 0.0000 0.0000
Cu2 0.7500 0.7500 0.7500
Zr1 0.2500 0.2500 0.2500



In3Ni: optimized geometry, PBE.

Results
* electronic total energy: -3.235 eV per atom

abc: 4.3687 4.3687 4.3687
angles: 90.00 90.00 90.00
Sites, in units of the cell vectors:
In1 0.5000 0.5000 0.0000
In2 0.5000 0.0000 0.5000
In3 0.0000 0.5000 0.5000
Ni1 0.0000 0.0000 0.0000



Er3FeI: optimized geometry, PBE.

Results
* electronic total energy: -4.762 eV per atom

abc: 5.1839 5.1839 5.1811
angles: 90.00 90.00 90.00
Sites, in units of the cell vectors:
Er1 0.0000 0.0000 0.0000
Er2 0.5000 0.0000 0.5000
Er3 0.0000 0.5000 0.5000
Fe1 0.0000 0.0000 0.5000
I1 0.5000 0.5000 0.0000



Gd3YSn2C2: optimized geometry, PBE.

Results
* electronic total energy: -6.362 eV per atom

abc: 3.6534 3.6534 16.0455
angles: 90.00 90.00 120.00
Sites, in units of the cell vectors:
C1 0.3333 0.6667 0.5003
C2 0.3333 0.6667 0.9994
Gd1 0.6667 0.3333 0.0842
Gd2 0.6667 0.3333 0.4148
Gd3 0.0000 0.0000 0.5853
Sn1 0.0000 0.0000 0.2498
Sn2 0.6667 0.3333 0.7512
Y1 0.0000 0.0000 0.9150



HfZr3Sb2As2: optimized geometry, PBE.

Results
* electronic total energy: -7.578 eV per atom

abc: 3.9286 3.9286 13.3649
angles: 90.00 90.00 120.00
Sites, in units of the cell vectors:
As1 0.0000 0.0000 0.5002
As2 0.0000 0.0000 0.9973
Hf1 0.3333 0.6667 0.8925
Sb1 0.3333 0.6667 0.2498
Sb2 0.6667 0.3333 0.7522
Zr1 0.6667 0.3333 0.1069
Zr2 0.6667 0.3333 0.3929
Zr3 0.3333 0.6667 0.6081



BaLiDyS3: optimized geometry, PBE.

Results
* energy above the lowest structure with this stoichiometry: 0 meV/atom
* electronic total energy: -5.422 eV per atom

abc: 7.0716 7.0716 10.3031
angles: 90.00 90.00 146.35
Sites, in units of the cell vectors:
Ba1 0.7445 0.2555 0.2500
Ba2 0.2555 0.7445 0.7500
Dy1 0.0000 0.0000 0.0000
Dy2 0.0000 0.0000 0.5000
Li1 0.4701 0.5299 0.2500
Li2 0.5299 0.4701 0.7500
S1 0.3694 0.6306 0.0603
S2 0.0655 0.9345 0.2500
S3 0.3694 0.6306 0.4397
S4 0.6306 0.3694 0.5603
S5 0.9345 0.0655 0.7500
S6 0.6306 0.3694 0.9397



NbCdO3: optimized geometry, PBE.

Results
* electronic total energy: -7.011 eV per atom

abc: 5.5622 5.5865 7.8949
angles: 90.00 90.00 90.00
Sites, in units of the cell vectors:
Cd1 0.9910 0.0399 0.2500
Cd2 0.5090 0.5399 0.2500
Cd3 0.4910 0.4601 0.7500
Cd4 0.0090 0.9601 0.7500
Nb1 0.5000 0.0000 0.0000
Nb2 0.0000 0.5000 0.0000
Nb3 0.5000 0.0000 0.5000
Nb4 0.0000 0.5000 0.5000
O1 0.7015 0.2979 0.0506
O2 0.7985 0.7979 0.0506
O3 0.0976 0.4746 0.2500
O4 0.4024 0.9746 0.2500
O5 0.7015 0.2979 0.4494
O6 0.7985 0.7979 0.4494
O7 0.2015 0.2021 0.5506
O8 0.2985 0.7021 0.5506
O9 0.5976 0.0254 0.7500
O10 0.9024 0.5254 0.7500
O11 0.2015 0.2021 0.9494
O12 0.2985 0.7021 0.9494



RbSrNd: optimized geometry, PBE.

Results
* electronic total energy: -1.473 eV per atom

abc: 6.3176 6.3176 6.3176
angles: 60.00 60.00 60.00
Each line ends with the local moment (μB).
Sites, in units of the cell vectors:
Nd1 0.2500 0.2500 0.2500  0.70
Rb1 0.0000 0.0000 0.0000  0.05
Sr1 0.7500 0.7500 0.7500  0.10



Li2ZrZnGa2Pt2: optimized geometry, PBE.

Results
* electronic total energy: -4.654 eV per atom

abc: 4.3862 4.3862 6.3686
angles: 90.00 90.00 90.00
Sites, in units of the cell vectors:
Ga1 0.5000 0.5000 0.0000
Ga2 0.0000 0.0000 0.5000
Li1 0.0000 0.5000 0.2078
Li2 0.5000 0.0000 0.7922
Pt1 0.5000 0.0000 0.2483
Pt2 0.0000 0.5000 0.7517
Zn1 0.0000 0.0000 0.0000
Zr1 0.5000 0.5000 0.5000



GaCo2Se4: optimized geometry, PBE.

Results
* energy above the lowest structure with this stoichiometry: 69 meV/atom
* electronic total energy: -4.737 eV per atom

abc: 7.2810 7.2810 10.1756
angles: 90.00 90.00 90.00
Each line ends with the local moment (μB).
Sites, in units of the cell vectors:
Co1 0.5000 0.2566 0.0000  0.15
Co2 0.2548 0.7452 0.1250  1.71
Co3 0.7434 0.5000 0.2500  0.20
Co4 0.2548 0.2548 0.3750  1.74
Co5 0.5000 0.7434 0.5000  0.12
Co6 0.7452 0.2548 0.6250  1.71
Co7 0.2566 0.5000 0.7500  0.19
Co8 0.7452 0.7452 0.8750  1.74
Ga1 0.0000 0.2516 0.0000  0.03
Ga2 0.7484 0.0000 0.2500  0.02
Ga3 0.0000 0.7484 0.5000  0.02
Ga4 0.2516 0.0000 0.7500  0.02
Se1 0.2686 0.0191 0.0046  0.09
Se2 0.7319 0.4887 0.0138  0.07
Se3 0.5113 0.2681 0.2362  0.06
Se4 0.9809 0.7314 0.2454  0.08
Se5 0.9809 0.2686 0.2546  0.08
Se6 0.5113 0.7319 0.2638  0.06
Se7 0.7319 0.5113 0.4862  0.07
Se8 0.2686 0.9809 0.4954  0.08
Se9 0.7314 0.9809 0.5046  0.08
Se10 0.2681 0.5113 0.5138  0.07
Se11 0.4887 0.7319 0.7362  0.07
Se12 0.0191 0.2686 0.7454  0.08
Se13 0.0191 0.7314 0.7546  0.07
Se14 0.4887 0.2681 0.7638  0.06
Se15 0.2681 0.4887 0.9862  0.07
Se16 0.7314 0.0191 0.9954  0.08



BaCo2AsP: optimized geometry, PBE.

Results
* electronic total energy: -5.959 eV per atom

abc: 6.8009 6.8009 6.8009
angles: 146.59 146.59 47.98
Each line ends with the local moment (μB).
Sites, in units of the cell vectors:
As1 0.3475 0.3475 0.0000  0.00
Ba1 0.0036 0.0036 0.0000  0.02
Co1 0.7443 0.2443 0.5000  0.47
Co2 0.2443 0.7443 0.5000  0.47
P1 0.6604 0.6604 0.0000  0.00



Dy2Ga3Ge2: optimized geometry, PBE.

Results
* electronic total energy: -4.486 eV per atom

abc: 5.5782 5.5782 6.7830
angles: 99.53 99.53 42.96
Sites, in units of the cell vectors:
Dy1 0.3855 0.3855 0.1926
Dy2 0.6145 0.6145 0.8074
Ga1 0.6990 0.6990 0.3716
Ga2 0.0000 0.0000 0.5000
Ga3 0.3010 0.3010 0.6284
Ge1 0.1014 0.1014 0.1311
Ge2 0.8986 0.8986 0.8689



Gd2Ga8Co: optimized geometry, PBE.

Results
* electronic total energy: -4.188 eV per atom

abc: 4.2401 4.2401 11.1660
angles: 90.00 90.00 90.00
Sites, in units of the cell vectors:
Co1 0.0000 0.0000 0.0000
Ga1 0.5000 0.0000 0.1147
Ga2 0.0000 0.5000 0.1147
Ga3 0.5000 0.5000 0.2984
Ga4 0.5000 0.0000 0.5000
Ga5 0.0000 0.5000 0.5000
Ga6 0.5000 0.5000 0.7016
Ga7 0.5000 0.0000 0.8853
Ga8 0.0000 0.5000 0.8853
Gd1 0.0000 0.0000 0.3052
Gd2 0.0000 0.0000 0.6948



LaGaNi: optimized geometry, PBE.

Results
* electronic total energy: -4.887 eV per atom

abc: 6.4645 6.9885 6.0822
angles: 90.00 118.97 90.00
Sites, in units of the cell vectors:
Ga1 0.8956 0.2460 0.2047
Ga2 0.1044 0.7460 0.2953
Ga3 0.8956 0.2540 0.7047
Ga4 0.1044 0.7540 0.7953
La1 0.3728 0.0902 0.1944
La2 0.6272 0.5902 0.3056
La3 0.3728 0.4098 0.6944
La4 0.6272 0.9098 0.8056
Ni1 0.1824 0.4388 0.1181
Ni2 0.8176 0.9388 0.3819
Ni3 0.1824 0.0612 0.6181
Ni4 0.8176 0.5612 0.8819



CsRbZnF4: optimized geometry, PBE.

Results
* electronic total energy: -4.075 eV per atom

abc: 7.5433 7.5433 7.5433
angles: 148.02 148.02 45.85
Sites, in units of the cell vectors:
Cs1 0.3476 0.3476 0.0000
F1 0.1454 0.1454 0.0000
F2 0.8535 0.8535 0.0000
F3 0.5032 0.0032 0.5000
F4 0.0032 0.5032 0.5000
Rb1 0.6466 0.6466 0.0000
Zn1 0.0003 0.0003 0.0000



TbPrPCl2: optimized geometry, PBE.

Results
* electronic total energy: -5.652 eV per atom

abc: 4.0439 4.0439 10.3717
angles: 90.00 90.00 120.00
Sites, in units of the cell vectors:
Cl1 0.6667 0.3333 0.3090
Cl2 0.3333 0.6667 0.6802
P1 0.0000 0.0000 0.0095
Pr1 0.6667 0.3333 0.8473
Tb1 0.3333 0.6667 0.1541



Er2Tm2B3C4: optimized geometry, PBE.

Results
* electronic total energy: -7.325 eV per atom

abc: 3.4578 3.5523 11.8307
angles: 92.71 96.96 90.12
Sites, in units of the cell vectors:
B1 0.0000 0.0000 0.0000
B2 0.7522 0.4938 0.4590
B3 0.2478 0.5062 0.5410
C1 0.0995 0.9404 0.1222
C2 0.6892 0.4741 0.3311
C3 0.3108 0.5259 0.6689
C4 0.9005 0.0596 0.8778
Er1 0.1957 0.9775 0.3499
Er2 0.8043 0.0225 0.6501
Tm1 0.6052 0.4480 0.1403
Tm2 0.3948 0.5520 0.8597



TlPd15: optimized geometry, PBE.

Results
* energy above the lowest structure with this stoichiometry: 32 meV/atom
* electronic total energy: -4.973 eV per atom

abc: 5.5537 3.8690 33.1779
angles: 90.00 90.03 90.00
Sites, in units of the cell vectors:
Pd1 0.3756 0.5000 0.1804
Pd2 0.1248 0.0000 0.2214
Pd3 0.6259 0.0000 0.2214
Pd4 0.8752 0.5000 0.2644
Pd5 0.3752 0.5000 0.2662
Pd6 0.6266 0.0000 0.3081
Pd7 0.1237 0.0000 0.3081
Pd8 0.8750 0.5000 0.3511
Pd9 0.3751 0.5000 0.3514
Pd10 0.6253 0.0000 0.3938
Pd11 0.1248 0.0000 0.3939
Pd12 0.3751 0.5000 0.4363
Pd13 0.8751 0.5000 0.4363
Pd14 0.1253 0.0000 0.4788
Pd15 0.6249 0.0000 0.4788
Pd16 0.3751 0.5000 0.5210
Pd17 0.8748 0.5000 0.5211
Pd18 0.1249 0.0000 0.5635
Pd19 0.6249 0.0000 0.5636
Pd20 0.8752 0.5000 0.6061
Pd21 0.3747 0.5000 0.6061
Pd22 0.6249 0.0000 0.6486
Pd23 0.1250 0.0000 0.6488
Pd24 0.8763 0.5000 0.6919
Pd25 0.3735 0.5000 0.6919
Pd26 0.6248 0.0000 0.7339
Pd27 0.1248 0.0000 0.7356
Pd28 0.3743 0.5000 0.7787
Pd29 0.8750 0.5000 0.7787
Pd30 0.6243 0.0000 0.8199
Tl1 0.8755 0.5000 0.1711
Tl2 0.1244 0.0000 0.8289



TbThAg: optimized geometry, PBE.

Results
* electronic total energy: -4.721 eV per atom
* energy of formation: 0.2347 eV per atom

abc: 5.0637 5.0637 5.0637
angles: 60.00 60.00 60.00
Each line ends with the local moment (μB).
Sites, in units of the cell vectors:
Ag1 0.0000 0.0000 0.0000  0.01
Tb1 0.2500 0.2500 0.2500  0.12
Th1 0.7500 0.7500 0.7500  0.11



HfTlCuSeS2: optimized geometry, PBE.

Results
* electronic total energy: -5.574 eV per atom

abc: 7.5398 7.5398 10.0165
angles: 90.00 90.00 151.30
Sites, in units of the cell vectors:
Cu1 0.5394 0.4606 0.2500
Cu2 0.4606 0.5394 0.7500
Hf1 0.0000 0.0000 0.0000
Hf2 0.0000 0.0000 0.5000
S1 0.6164 0.3836 0.0514
S2 0.6164 0.3836 0.4486
S3 0.3836 0.6164 0.5514
S4 0.3836 0.6164 0.9486
Se1 0.9285 0.0715 0.2500
Se2 0.0715 0.9285 0.7500
Tl1 0.2433 0.7567 0.2500
Tl2 0.7567 0.2433 0.7500



Ga2Pt2O5: optimized geometry, PBE.

Results
* energy above the lowest structure with this stoichiometry: 319 meV/atom
* electronic total energy: -5.000 eV per atom

abc: 6.8548 3.8965 3.8965
angles: 90.00 90.00 90.00
Sites, in units of the cell vectors:
Ga1 0.0000 0.0000 0.0000
Ga2 0.5000 0.0000 0.0000
O1 0.2719 0.5000 0.0000
O2 0.7281 0.5000 0.0000
O3 0.2719 0.0000 0.5000
O4 0.7281 0.0000 0.5000
O5 0.5000 0.5000 0.5000
Pt1 0.1999 0.5000 0.5000
Pt2 0.8001 0.5000 0.5000